Entry 1:
Below is a relaxed LiY2Lu crystal, with properties calculated at the GGA-PBE level.

Calculated values
- Density: 5.3 g/cm3
- Calculated total energy: -4.6370 eV/atom

a b c (Å): 5.4318 5.4318 5.4318
angles (deg): 60.00 60.00 60.00
Atoms (fractional coordinates):
Y (0.7500, 0.7500, 0.7500)
Y (0.0000, 0.0000, 0.0000)
Lu (0.2500, 0.2500, 0.2500)
Li (0.5000, 0.5000, 0.5000)



Entry 2:
Below is a relaxed Li2LuZn crystal, with properties calculated at the GGA-PBE level.

Calculated values
- Density: 5.6 g/cm3
- Calculated total energy: -2.4237 eV/atom

a b c (Å): 4.7302 4.7302 4.7302
angles (deg): 60.00 60.00 60.00
Atoms (fractional coordinates):
Li (0.7500, 0.7500, 0.7500)
Lu (0.2500, 0.2500, 0.2500)
Zn (0.5000, 0.5000, 0.5000)
Li (0.0000, 0.0000, 0.0000)



Entry 3:
Below is a relaxed LiLu2Zn crystal, with properties calculated at the GGA-PBE level.

Calculated values
- Density: 7.9 g/cm3
- Calculated total energy: -2.9305 eV/atom

a b c (Å): 5.0150 5.0150 5.0150
angles (deg): 60.00 60.00 60.00
Atoms (fractional coordinates):
Zn (0.5000, 0.5000, 0.5000)
Lu (0.0000, 0.0000, 0.0000)
Li (0.2500, 0.2500, 0.2500)
Lu (0.7500, 0.7500, 0.7500)



Entry 4:
Below is a relaxed LiLuZn crystal, with properties calculated at the GGA-PBE level.

Calculated values
- Density: 5.7 g/cm3
- Calculated total energy: -2.1076 eV/atom

a b c (Å): 4.6653 4.6653 4.6653
angles (deg): 60.00 60.00 60.00
Atoms (fractional coordinates):
Zn (0.7500, 0.7500, 0.7500)
Lu (0.0000, 0.0000, 0.0000)
Li (0.2500, 0.2500, 0.2500)



Entry 5:
Below is a relaxed LiLu2Zr crystal, with properties calculated at the GGA-PBE level.

Calculated values
- Density: 7.6 g/cm3
- Calculated total energy: -4.5735 eV/atom

a b c (Å): 5.1622 5.1622 5.1622
angles (deg): 60.00 60.00 60.00
Atoms (fractional coordinates):
Lu (0.7500, 0.7500, 0.7500)
Zr (0.2500, 0.2500, 0.2500)
Li (0.5000, 0.5000, 0.5000)
Lu (0.0000, 0.0000, 0.0000)



Entry 6:
Below is a relaxed LiMgMo2 crystal, with properties calculated at the GGA-PBE level.

Calculated values
- Density: 5.9 g/cm3
- Calculated total energy: -5.8687 eV/atom

a b c (Å): 4.4633 4.4633 4.4633
angles (deg): 60.00 60.00 60.00
Atoms (fractional coordinates):
Mg (0.2500, 0.2500, 0.2500)
Mo (0.7500, 0.7500, 0.7500)
Mo (0.0000, 0.0000, 0.0000)
Li (0.5000, 0.5000, 0.5000)



Entry 7:
Below is a relaxed LiNdMg crystal, with properties calculated at the GGA-PBE level.

Calculated values
- Density: 3.4 g/cm3
- Calculated total energy: -2.4455 eV/atom

a b c (Å): 4.9360 4.9360 4.9360
angles (deg): 60.00 60.00 60.00
Atoms (fractional coordinates):
Nd (0.7500, 0.7500, 0.7500)
Li (0.0000, 0.0000, 0.0000)
Mg (0.2500, 0.2500, 0.2500)



Entry 8:
Below is a relaxed LiNdMg6 crystal, with properties calculated at the GGA-PBE level.

Calculated values
- Density: 2.6 g/cm3
- Calculated total energy: -2.0566 eV/atom

a b c (Å): 5.0203 5.0203 7.6019
angles (deg): 90.00 90.00 90.00
Atoms (fractional coordinates):
Nd (0.5000, 0.5000, 0.0000)
Mg (0.0000, 0.5000, 0.7271)
Mg (0.5000, 0.0000, 0.7271)
Mg (0.0000, 0.0000, 0.0000)
Mg (0.0000, 0.5000, 0.2729)
Li (0.0000, 0.0000, 0.5000)
Mg (0.5000, 0.5000, 0.5000)
Mg (0.5000, 0.0000, 0.2729)



Entry 9:
Below is a relaxed LiNdMg2 crystal, with properties calculated at the GGA-PBE level.

Calculated values
- Density: 3.1 g/cm3
- Calculated total energy: -2.4155 eV/atom

a b c (Å): 3.5627 5.4589 5.4595
angles (deg): 90.00 90.00 90.00
Atoms (fractional coordinates):
Nd (0.0000, 0.0000, 0.7473)
Mg (0.5000, 0.5000, 0.7538)
Mg (0.5000, 0.0000, 0.2468)
Li (0.0000, 0.5000, 0.2521)



Entry 10:
Below is a relaxed LiNdMg2 crystal, with properties calculated at the GGA-PBE level.

Calculated values
- Density: 3.3 g/cm3
- Calculated total energy: -2.4218 eV/atom

a b c (Å): 9.6182 9.6182 9.6182
angles (deg): 151.77 151.77 40.35
Atoms (fractional coordinates):
Nd (0.7500, 0.2500, 0.5000)
Mg (0.5000, 0.0000, 0.5000)
Mg (0.3869, 0.3869, 0.0000)
Mg (0.6131, 0.6131, 0.0000)
Li (0.1070, 0.1070, 0.0000)
Mg (0.0000, 0.5000, 0.5000)
Nd (0.2500, 0.7500, 0.5000)
Li (0.8930, 0.8930, 0.0000)



Entry 11:
Below is a relaxed LiNdMgZn crystal, with properties calculated at the GGA-PBE level.

Calculated values
- Density: 4.7 g/cm3
- Calculated total energy: -2.5934 eV/atom

a b c (Å): 4.9482 4.9482 4.9482
angles (deg): 60.00 60.00 60.00
Atoms (fractional coordinates):
Li (0.7500, 0.7500, 0.7500)
Mg (0.0000, 0.0000, 0.0000)
Nd (0.5000, 0.5000, 0.5000)
Zn (0.2500, 0.2500, 0.2500)



Entry 12:
Below is a relaxed Li4Mg2NiPd crystal, with properties calculated at the GGA-PBE level.

Calculated values
- Density: 3.4 g/cm3
- Calculated total energy: -2.8931 eV/atom

a b c (Å): 4.3887 4.3887 6.2099
angles (deg): 90.00 90.00 90.00
Atoms (fractional coordinates):
Mg (0.0000, 0.5000, 0.2418)
Mg (0.5000, 0.0000, 0.7582)
Pd (0.5000, 0.5000, 0.5000)
Li (0.5000, 0.5000, 0.0000)
Li (0.0000, 0.5000, 0.7536)
Li (0.5000, 0.0000, 0.2464)
Li (0.0000, 0.0000, 0.5000)
Ni (0.0000, 0.0000, 0.0000)



Entry 13:
Below is a relaxed Li2Mg2NiSn2Pd crystal, with properties calculated at the GGA-PBE level.

Calculated values
- Density: 5.9 g/cm3
- Calculated total energy: -3.6818 eV/atom

a b c (Å): 4.5125 4.5125 6.4146
angles (deg): 90.00 90.00 90.00
Atoms (fractional coordinates):
Sn (0.5000, 0.0000, 0.7629)
Mg (0.0000, 0.5000, 0.7543)
Li (0.5000, 0.5000, 0.0000)
Ni (0.0000, 0.0000, 0.0000)
Li (0.0000, 0.0000, 0.5000)
Mg (0.5000, 0.0000, 0.2457)
Pd (0.5000, 0.5000, 0.5000)
Sn (0.0000, 0.5000, 0.2371)



Entry 14:
Below is a relaxed Li2Mg2NiSn2Pt crystal, with properties calculated at the GGA-PBE level.

Calculated values
- Density: 7.1 g/cm3
- Calculated total energy: -3.8297 eV/atom

a b c (Å): 4.5079 4.5079 6.4055
angles (deg): 90.00 90.00 90.00
Atoms (fractional coordinates):
Li (0.5000, 0.5000, 0.5000)
Li (0.0000, 0.0000, 0.0000)
Sn (0.0000, 0.5000, 0.7640)
Mg (0.0000, 0.5000, 0.2485)
Ni (0.5000, 0.5000, 0.0000)
Mg (0.5000, 0.0000, 0.7515)
Pt (0.0000, 0.0000, 0.5000)
Sn (0.5000, 0.0000, 0.2360)



Entry 15:
Below is a relaxed Li2MgScNi2Sn2 crystal, with properties calculated at the GGA-PBE level.

Calculated values
- Density: 5.8 g/cm3
- Calculated total energy: -4.3247 eV/atom

a b c (Å): 4.4535 4.4535 6.3157
angles (deg): 90.00 90.00 90.00
Atoms (fractional coordinates):
Sc (0.0000, 0.0000, 0.5000)
Sn (0.5000, 0.5000, 0.5000)
Sn (0.0000, 0.0000, 0.0000)
Mg (0.5000, 0.5000, 0.0000)
Ni (0.5000, 0.0000, 0.2560)
Li (0.5000, 0.0000, 0.7580)
Li (0.0000, 0.5000, 0.2420)
Ni (0.0000, 0.5000, 0.7440)



Entry 16:
Below is a relaxed Li2Mg2TlNi2Sn crystal, with properties calculated at the GGA-PBE level.

Calculated values
- Density: 6.6 g/cm3
- Calculated total energy: -3.3010 eV/atom

a b c (Å): 4.4740 4.4740 6.3258
angles (deg): 90.00 90.00 90.00
Atoms (fractional coordinates):
Tl (0.5000, 0.5000, 0.0000)
Ni (0.0000, 0.5000, 0.2632)
Mg (0.5000, 0.5000, 0.5000)
Li (0.5000, 0.0000, 0.2499)
Sn (0.0000, 0.0000, 0.5000)
Ni (0.5000, 0.0000, 0.7368)
Li (0.0000, 0.5000, 0.7501)
Mg (0.0000, 0.0000, 0.0000)



Entry 17:
Below is a relaxed LiMgNp crystal, with properties calculated at the GGA-PBE level.

Calculated values
- Density: 5.7 g/cm3
- Calculated total energy: -4.4481 eV/atom

a b c (Å): 4.7915 4.7915 4.7915
angles (deg): 60.00 60.00 60.00
Atoms (fractional coordinates):
Mg (0.2500, 0.2500, 0.2500)
Np (0.7500, 0.7500, 0.7500)
Li (0.0000, 0.0000, 0.0000)



Entry 18:
Below is a relaxed Li4MgReO6 crystal, with properties calculated at the GGA-PBE level.

Calculated values
- Density: 5.2 g/cm3
- Calculated total energy: -6.3033 eV/atom

a b c (Å): 5.0937 5.0937 5.0543
angles (deg): 99.83 99.83 119.94
Atoms (fractional coordinates):
Li (0.3431, 0.6569, 0.5000)
O (0.4039, 0.0647, 0.7698)
Li (0.9970, 0.0030, 0.5000)
O (0.5629, 0.9192, 0.2358)
O (0.9353, 0.5961, 0.2302)
Mg (0.8341, 0.1659, 0.0000)
Li (0.4996, 0.5004, 0.0000)
Re (0.1672, 0.8328, 0.0000)
Li (0.6605, 0.3395, 0.5000)
O (0.7770, 0.7615, 0.7632)
O (0.0808, 0.4371, 0.7642)
O (0.2385, 0.2230, 0.2368)



Entry 19:
Below is a relaxed Li3Mg2ReO6 crystal, with properties calculated at the GGA-PBE level.

Calculated values
- Density: 5.3 g/cm3
- Calculated total energy: -6.3464 eV/atom

a b c (Å): 5.1533 5.1533 5.1074
angles (deg): 99.76 99.76 119.96
Atoms (fractional coordinates):
Mg (0.3332, 0.6668, 0.0000)
O (0.7553, 0.7553, 0.2293)
O (0.9225, 0.6002, 0.7672)
O (0.0775, 0.3998, 0.2328)
O (0.3998, 0.0775, 0.2328)
Re (0.0000, 0.0000, 0.0000)
Li (0.8323, 0.1677, 0.5000)
Li (0.1677, 0.8323, 0.5000)
Mg (0.6668, 0.3332, 0.0000)
Li (0.5000, 0.5000, 0.5000)
O (0.6002, 0.9225, 0.7672)
O (0.2447, 0.2447, 0.7707)



Entry 20:
Below is a relaxed LiMgOs2 crystal, with properties calculated at the GGA-PBE level.

Calculated values
- Density: 12.2 g/cm3
- Calculated total energy: -6.4022 eV/atom

a b c (Å): 4.2895 4.2895 4.2895
angles (deg): 60.00 60.00 60.00
Atoms (fractional coordinates):
Mg (0.2500, 0.2500, 0.2500)
Li (0.5000, 0.5000, 0.5000)
Os (0.0000, 0.0000, 0.0000)
Os (0.7500, 0.7500, 0.7500)